Below is a relaxed Pr11Dy4Er9 crystal, with properties calculated at the PBE level.

Geometry as POSCAR:
```
Pr11Dy4Er9
1.0
8.507 -12.894 0.000
8.507 12.894 0.000
0.000 0.000 3.675
Pr Dy Er
11 4 9
Direct
0.000 0.000 0.000 Pr
0.042 0.405 0.000 Pr
0.160 0.840 0.000 Pr
0.292 0.292 0.000 Pr
0.368 0.632 0.000 Pr
0.405 0.042 0.000 Pr
0.595 0.958 0.000 Pr
0.632 0.368 0.000 Pr
0.708 0.708 0.000 Pr
0.840 0.160 0.000 Pr
0.958 0.595 0.000 Pr
0.241 0.445 0.500 Dy
0.445 0.241 0.500 Dy
0.555 0.759 0.500 Dy
0.759 0.555 0.500 Dy
0.068 0.213 0.500 Er
0.166 0.631 0.500 Er
0.213 0.068 0.500 Er
0.369 0.834 0.500 Er
0.500 0.500 0.500 Er
0.631 0.166 0.500 Er
0.787 0.932 0.500 Er
0.834 0.369 0.500 Er
0.932 0.787 0.500 Er
```

Computed properties:
Energy of formation: 0.06 eV/atom
Calculated total energy: -110.66 eV/f.u.
Total moment: 0.00 μB per atom
Volume: 33.59 Å³/atom